# NaV3P3O13, optimized geometry, DFT PBE with a Hubbard U
data_NaV3P3O13
_cell_length_a 6.385
_cell_length_b 7.467
_cell_length_c 10.693
_cell_angle_alpha 80.67
_cell_angle_beta 90.00
_cell_angle_gamma 90.00
_space_group_name_H-M_alt 'P 1'
_space_group_IT_number 1
loop_
_space_group_symop_operation_xyz
'x,y,z'
loop_
_atom_site_label
_atom_site_fract_x
_atom_site_fract_y
_atom_site_fract_z
O1 0.250 0.863 0.096
O2 0.250 0.979 0.412
O3 0.750 0.493 0.951
O4 0.055 0.731 0.562
O5 0.250 0.083 0.878
V1 0.750 0.774 0.554
O6 0.555 0.269 0.438
Na1 0.750 0.343 0.184
O7 0.950 0.795 0.904
O8 0.050 0.205 0.096
P1 0.250 0.255 0.769
O9 0.750 0.651 0.740
O10 0.750 0.917 0.122
O11 0.750 0.345 0.627
V2 0.250 0.644 0.198
P2 0.250 0.309 0.121
O12 0.059 0.372 0.793
O13 0.441 0.372 0.793
O14 0.750 0.137 0.904
V3 0.750 0.356 0.802
P3 0.750 0.221 0.523
O15 0.559 0.628 0.207
O16 0.750 0.808 0.359
V4 0.500 0.000 0.000
O17 0.250 0.655 0.373
P4 0.750 0.691 0.879
Na2 0.250 0.657 0.816
O18 0.250 0.507 0.049
P5 0.750 0.745 0.231
V5 0.000 0.000 0.000
O19 0.250 0.192 0.641
V6 0.250 0.226 0.446
O20 0.445 0.731 0.562
O21 0.550 0.795 0.904
O22 0.250 0.349 0.260
O23 0.750 0.021 0.588
O24 0.450 0.205 0.096
P6 0.250 0.779 0.477
O25 0.945 0.269 0.438
O26 0.941 0.628 0.207
# raw total energy: -7.4237 eV per atom